Entry 1:
# RuW2N | Alexandria via LeMat-Bulk | PBE | optimized geometry
data_RuW2N
_cell_length_a 2.8527
_cell_length_b 2.8527
_cell_length_c 21.7848
_cell_angle_alpha 90.00
_cell_angle_beta 90.00
_cell_angle_gamma 120.00
_space_group_name_H-M_alt 'R 3 m'
_space_group_IT_number 160
_space_group_name_Hall 'R 3 -2"'
loop_
_atom_site_label
_atom_site_fract_x
_atom_site_fract_y
_atom_site_fract_z
Ru1 0.0000 0.0000 0.0000
W1 0.0000 0.0000 0.2354
W2 0.0000 0.0000 0.4381
N1 0.0000 0.0000 0.8372
# V: 154 Å³/cell
# N(E_F): 8.24 states/eV per cell
# uncorrected energy: -10.9253 eV/atom
# formation energy from raw total energies: -0.05 eV per atom

Entry 2:
# RuW2N | Alexandria via LeMat-Bulk | PBE | optimized geometry
data_RuW2N
_cell_length_a 4.896
_cell_length_b 4.896
_cell_length_c 10.921
_cell_angle_alpha 90.00
_cell_angle_beta 90.00
_cell_angle_gamma 90.00
_space_group_name_H-M_alt 'I -4 2 d'
_space_group_IT_number 122
_space_group_name_Hall 'I -4 2bw'
loop_
_atom_site_label
_atom_site_fract_x
_atom_site_fract_y
_atom_site_fract_z
Ru1 0.000 0.000 0.000
W1 0.162 0.250 0.625
N1 0.000 0.000 0.500
# V: 262 Å³/cell
# N(E_F): 11.16 states/eV per cell
# uncorrected energy: -10.4279 eV/atom
# formation energy from raw total energies: 0.45 eV per atom

Entry 3:
# RuWN2 | Alexandria via LeMat-Bulk | PBE | optimized geometry
data_RuWN2
_cell_length_a 4.205
_cell_length_b 4.205
_cell_length_c 10.879
_cell_angle_alpha 90.00
_cell_angle_beta 90.00
_cell_angle_gamma 90.00
_space_group_name_H-M_alt 'I -4 2 d'
_space_group_IT_number 122
_space_group_name_Hall 'I -4 2bw'
loop_
_atom_site_label
_atom_site_fract_x
_atom_site_fract_y
_atom_site_fract_z
Ru1 0.000 0.000 0.000
W1 0.000 0.000 0.500
N1 0.234 0.250 0.625
# E above lowest polymorph: 0 meV per atom
# V: 192 Å³/cell
# N(E_F): 11.09 states/eV per cell
# uncorrected energy: -9.6140 eV/atom
# formation energy from raw total energies: 0.11 eV per atom

Entry 4:
# Y3Ru5N12 | Alexandria via LeMat-Bulk | PBE | optimized geometry
data_Y3Ru5N12
_cell_length_a 12.627
_cell_length_b 12.627
_cell_length_c 12.627
_cell_angle_alpha 90.00
_cell_angle_beta 90.00
_cell_angle_gamma 90.00
_space_group_name_H-M_alt 'I a -3 d'
_space_group_IT_number 230
_space_group_name_Hall '-I 4bd 2c 3'
loop_
_atom_site_label
_atom_site_fract_x
_atom_site_fract_y
_atom_site_fract_z
Y1 0.000 0.250 0.125
Ru1 0.000 0.000 0.000
Ru2 0.000 0.250 0.375
N1 0.032 0.051 0.650
# V: 2013 Å³/cell
# N(E_F): 81.33 states/eV per cell
# uncorrected energy: -8.4155 eV/atom
# formation energy from raw total energies: -0.13 eV per atom

Entry 5:
# YRuN2 | Alexandria via LeMat-Bulk | PBE | optimized geometry
data_YRuN2
_cell_length_a 3.4173
_cell_length_b 3.4173
_cell_length_c 17.2728
_cell_angle_alpha 90.00
_cell_angle_beta 90.00
_cell_angle_gamma 120.00
_space_group_name_H-M_alt 'R -3 m'
_space_group_IT_number 166
_space_group_name_Hall '-R 3 2"'
loop_
_atom_site_label
_atom_site_fract_x
_atom_site_fract_y
_atom_site_fract_z
Y1 0.0000 0.0000 0.0000
Ru1 0.0000 0.0000 0.5000
N1 0.0000 0.0000 0.1267
# E above lowest polymorph: 778 meV per atom
# V: 175 Å³/cell
# N(E_F): 9.05 states/eV per cell
# uncorrected energy: -7.7902 eV/atom
# formation energy from raw total energies: 0.31 eV per atom

Entry 6:
# YRuN2 | Alexandria via LeMat-Bulk | PBE | optimized geometry
data_YRuN2
_cell_length_a 3.6169
_cell_length_b 3.6169
_cell_length_c 17.3975
_cell_angle_alpha 90.00
_cell_angle_beta 90.00
_cell_angle_gamma 120.00
_space_group_name_H-M_alt 'R -3 m'
_space_group_IT_number 166
_space_group_name_Hall '-R 3 2"'
loop_
_atom_site_label
_atom_site_fract_x
_atom_site_fract_y
_atom_site_fract_z
Y1 0.0000 0.0000 0.0000
Ru1 0.0000 0.0000 0.5000
N1 0.0000 0.0000 0.3961
# E above lowest polymorph: 215 meV per atom
# V: 197 Å³/cell
# N(E_F): 5.31 states/eV per cell
# uncorrected energy: -8.3525 eV/atom
# formation energy from raw total energies: -0.25 eV per atom

Entry 7:
# YRuN3 | Alexandria via LeMat-Bulk | PBE | optimized geometry
data_YRuN3
_cell_length_a 3.877
_cell_length_b 3.877
_cell_length_c 3.877
_cell_angle_alpha 90.00
_cell_angle_beta 90.00
_cell_angle_gamma 90.00
_space_group_name_H-M_alt 'P m -3 m'
_space_group_IT_number 221
_space_group_name_Hall '-P 4 2 3'
loop_
_atom_site_label
_atom_site_fract_x
_atom_site_fract_y
_atom_site_fract_z
Y1 0.000 0.000 0.000
Ru1 0.500 0.500 0.500
N1 0.000 0.500 0.500
# V: 58 Å³/cell
# N(E_F): 3.33 states/eV per cell
# uncorrected energy: -8.1016 eV/atom
# formation energy from raw total energies: 0.04 eV per atom

Entry 8:
# YRuN2 | Alexandria via LeMat-Bulk | PBE | optimized geometry
data_YRuN2
_cell_length_a 4.721
_cell_length_b 4.721
_cell_length_c 10.503
_cell_angle_alpha 90.00
_cell_angle_beta 90.00
_cell_angle_gamma 90.00
_space_group_name_H-M_alt 'I -4 2 d'
_space_group_IT_number 122
_space_group_name_Hall 'I -4 2bw'
loop_
_atom_site_label
_atom_site_fract_x
_atom_site_fract_y
_atom_site_fract_z
Y1 0.000 0.000 0.000
Ru1 0.000 0.000 0.500
N1 0.188 0.250 0.625
# E above lowest polymorph: 0 meV per atom
# V: 234 Å³/cell
# N(E_F): 3.81 states/eV per cell
# uncorrected energy: -8.5679 eV/atom
# formation energy from raw total energies: -0.47 eV per atom